Entry 1:
VASP calculation (PBE) on a relaxed NbInSeBr2 crystal.

## Properties
Raw formation energy ... -0.44 eV/atom
Energy relative to the lowest polymorph listed for this composition ... 0 kJ/mol of formula units

Cell: 5.491 5.491 5.118 Å, 90.00 90.00 90.00°
Last column: magnetic moment on the atom in μB.
Fractional positions:
Nb (0.000, 0.000, 0.000)  1.33
Se (0.000, 0.000, 0.500)  -0.03
Br (0.000, 0.500, 0.000)  0.04
Br (0.500, 0.000, 0.000)  0.04
In (0.500, 0.500, 0.500)  0.01

---

Entry 2:
VASP calculation (PBE) on a relaxed NbInTeBr2 crystal.

## Properties
Raw formation energy ... 0.54 eV/atom

Cell: 6.099 5.339 6.099 Å, 90.00 90.00 90.00°
Last column: magnetic moment on the atom in μB.
Fractional positions:
Nb (0.000, 0.500, 0.000)  2.57
Te (0.000, 0.000, 0.000)  -0.14
Br (0.000, 0.000, 0.500)  0.09
Br (0.500, 0.000, 0.000)  0.03
In (0.500, 0.500, 0.500)  0.06

---

Entry 3:
VASP calculation (PBE) on a relaxed TiNbIn2Br crystal.

## Properties
Raw formation energy ... 1.19 eV/atom

Cell: 5.361 4.743 5.361 Å, 90.00 90.00 90.00°
Fractional positions:
Nb (0.000, 0.500, 0.000)
Ti (0.500, 0.500, 0.500)
Br (0.000, 0.000, 0.000)
In (0.000, 0.000, 0.500)
In (0.500, 0.000, 0.000)

---

Entry 4:
VASP calculation (PBE) on a relaxed NbTlInBr2 crystal.

## Properties
Raw formation energy ... -0.04 eV/atom

Cell: 5.116 5.830 5.116 Å, 90.00 90.00 90.00°
Fractional positions:
Tl (0.500, 0.500, 0.500)
Nb (0.000, 0.000, 0.000)
Br (0.000, 0.000, 0.500)
Br (0.500, 0.000, 0.000)
In (0.000, 0.500, 0.000)

---

Entry 5:
VASP calculation (PBE) on a relaxed Nb2ZnInBr crystal.

## Properties
Raw formation energy ... 1.26 eV/atom

Cell: 4.775 5.532 4.775 Å, 90.00 90.00 90.00°
Fractional positions:
Nb (0.000, 0.000, 0.500)
Nb (0.500, 0.000, 0.000)
Zn (0.500, 0.500, 0.500)
Br (0.000, 0.000, 0.000)
In (0.000, 0.500, 0.000)

---

Entry 6:
VASP calculation (PBE) on a relaxed Zr2NbInBr crystal.

## Properties
Raw formation energy ... 0.84 eV/atom

Cell: 4.888 5.306 4.888 Å, 90.00 90.00 90.00°
Fractional positions:
Nb (0.500, 0.500, 0.500)
Br (0.000, 0.000, 0.000)
Zr (0.000, 0.000, 0.500)
Zr (0.500, 0.000, 0.000)
In (0.000, 0.500, 0.000)

---

Entry 7:
VASP calculation (PBE) on a relaxed Nd5In4Br crystal.

## Properties
Raw formation energy ... -0.61 eV/atom

Cell: 3.626 3.626 21.845 Å, 90.00 90.00 90.00°
Fractional positions:
Nd (0.500, 0.500, 0.104)
Nd (0.500, 0.500, 0.300)
Nd (0.500, 0.500, 0.500)
Nd (0.500, 0.500, 0.700)
Nd (0.500, 0.500, 0.896)
In (0.000, 0.000, 0.198)
In (0.000, 0.000, 0.400)
In (0.000, 0.000, 0.600)
In (0.000, 0.000, 0.802)
Br (0.000, 0.000, 0.000)

---

Entry 8:
VASP calculation (PBE) on a relaxed NdIn5Br8 crystal.

## Properties
Raw formation energy ... -0.99 eV/atom

Cell: 8.535 8.535 8.535 Å, 110.66 110.66 107.12°
Fractional positions:
Nd (0.250, 0.750, 0.500)
In (0.863, 0.250, 0.861)
In (0.750, 0.611, 0.613)
In (0.389, 0.002, 0.139)
In (0.500, 0.500, 0.000)
In (0.998, 0.137, 0.387)
Br (0.036, 0.754, 0.138)
Br (0.246, 0.384, 0.282)
Br (0.570, 0.834, 0.392)
Br (0.166, 0.558, 0.736)
Br (0.822, 0.430, 0.264)
Br (0.103, 0.964, 0.718)
Br (0.616, 0.897, 0.862)
Br (0.442, 0.178, 0.608)

---

Entry 9:
VASP calculation (PBE) on a relaxed NdInBr4 crystal.

## Properties
Raw formation energy ... -1.47 eV/atom

Cell: 7.432 8.687 11.362 Å, 120.67 118.46 66.98°
Fractional positions:
Nd (0.318, 0.068, 0.137)
Nd (0.682, 0.932, 0.863)
In (0.438, 0.688, 0.376)
In (0.562, 0.312, 0.624)
Br (0.934, 0.152, 0.902)
Br (0.793, 0.596, 0.642)
Br (0.468, 0.750, 0.902)
Br (0.350, 0.047, 0.642)
Br (0.650, 0.953, 0.358)
Br (0.532, 0.250, 0.098)
Br (0.207, 0.404, 0.358)
Br (0.066, 0.848, 0.098)

---

Entry 10:
VASP calculation (PBE) on a relaxed Nd2InBr8 crystal.

## Properties
Raw formation energy ... -1.48 eV/atom

Cell: 7.396 7.569 7.569 Å, 76.26 78.45 78.45°
Fractional positions:
Nd (0.449, 0.319, 0.319)
Nd (0.551, 0.681, 0.681)
In (0.000, 0.000, 0.000)
Br (0.305, 0.666, 0.050)
Br (0.695, 0.950, 0.334)
Br (0.180, 0.181, 0.181)
Br (0.820, 0.819, 0.819)
Br (0.305, 0.050, 0.666)
Br (0.695, 0.334, 0.950)
Br (0.755, 0.435, 0.435)
Br (0.245, 0.565, 0.565)

---

Entry 11:
VASP calculation (PBE) on a relaxed NdIn2Br5 crystal.

## Properties
Raw formation energy ... -1.29 eV/atom

Cell: 8.665 9.186 13.526 Å, 90.00 90.00 90.00°
Fractional positions:
Nd (0.421, 0.250, 0.505)
Nd (0.579, 0.750, 0.495)
Nd (0.921, 0.750, 0.995)
Nd (0.079, 0.250, 0.005)
In (0.446, 0.501, 0.826)
In (0.554, 0.499, 0.174)
In (0.946, 0.499, 0.674)
In (0.554, 0.001, 0.174)
In (0.054, 0.501, 0.326)
In (0.446, 0.999, 0.826)
In (0.054, 0.999, 0.326)
In (0.946, 0.001, 0.674)
Br (0.077, 0.250, 0.506)
Br (0.923, 0.750, 0.494)
Br (0.577, 0.750, 0.994)
Br (0.423, 0.250, 0.006)
Br (0.333, 0.954, 0.575)
Br (0.667, 0.046, 0.425)
Br (0.833, 0.046, 0.925)
Br (0.667, 0.454, 0.425)
Br (0.167, 0.954, 0.075)
Br (0.333, 0.546, 0.575)
Br (0.167, 0.546, 0.075)
Br (0.833, 0.454, 0.925)
Br (0.160, 0.250, 0.793)
Br (0.840, 0.750, 0.207)
Br (0.660, 0.750, 0.707)
Br (0.340, 0.250, 0.293)
Br (0.614, 0.250, 0.685)
Br (0.386, 0.750, 0.315)
Br (0.114, 0.750, 0.815)
Br (0.886, 0.250, 0.185)

---

Entry 12:
VASP calculation (PBE) on a relaxed Nd2In5Br12 crystal.

## Properties
Raw formation energy ... -1.15 eV/atom

Cell: 7.639 10.020 10.020 Å, 63.05 74.96 74.96°
Last column: magnetic moment on the atom in μB.
Fractional positions:
Nd (0.000, 0.749, 0.251)  0.00
Nd (0.000, 0.251, 0.749)  0.00
In (0.005, 0.251, 0.251)  0.00
In (0.517, 0.348, 0.348)  0.00
In (0.500, 0.000, 0.000)  0.17
In (0.483, 0.652, 0.652)  0.00
In (0.995, 0.749, 0.749)  0.00
Br (0.205, 0.917, 0.917)  0.02
Br (0.229, 0.139, 0.520)  0.00
Br (0.229, 0.520, 0.139)  0.00
Br (0.744, 0.092, 0.711)  0.04
Br (0.744, 0.711, 0.092)  0.04
Br (0.791, 0.479, 0.479)  0.00
Br (0.209, 0.521, 0.521)  0.00
Br (0.256, 0.908, 0.289)  0.04
Br (0.256, 0.289, 0.908)  0.04
Br (0.771, 0.861, 0.480)  0.00
Br (0.771, 0.480, 0.861)  0.00
Br (0.795, 0.083, 0.083)  0.02

---

Which value of raw formation energy does entry 12 give?
-1.15 eV/atom

---

The highest raw formation energy belongs to which entry?
Nb2ZnInBr